5
Lattice="3.7242 0.0000 0.0000 0.0000 3.7242 0.0000 0.0000 0.0000 3.5554" Properties=species:S:1:pos:R:3 comment="SiMoN2F, optimized geometry, DFT PBE+U" n_ef_per_ev_cell=0.8 e_above_lowest_polymorph_mev_per_atom=0.0 final_energy_ev_per_atom=-6.47 pbc="T T T"
Si 0.0000 0.0000 0.0000
Mo 1.8621 1.8621 1.7777
N 0.0000 1.8621 0.0000
N 1.8621 0.0000 0.0000
F 0.0000 0.0000 1.7777